[1]
First-principles (PBE) data for a relaxed Cs2LaTlO4 crystal, as listed in Alexandria via LeMat-Bulk.

Cell: 6.606 6.606 9.223 Å, 90.00 90.00 90.00°
Space group I-4 (No. 82)
Asymmetric unit:
Cs1 0.000 0.000 0.000
Cs2 0.000 0.500 0.250
La1 0.000 0.500 0.750
Tl1 0.000 0.000 0.500
O1 0.146 0.754 0.620

Summary:
ΔE_f (raw), kJ per mole of atoms: -169.1

[2]
First-principles (PBE) data for a relaxed Mg2ZrPt crystal, as listed in Alexandria via LeMat-Bulk.

Cell: 3.0678 3.0678 28.6937 Å, 90.00 90.00 120.00°
Space group R-3m (No. 166, hexagonal axes)
Asymmetric unit:
Mg1 0.0000 0.0000 0.2394
Zr1 0.0000 0.0000 0.0000
Pt1 0.0000 0.0000 0.5000

Summary:
Calculated formation energy, meV/atom: -249

[3]
First-principles (PBE) data for a relaxed FeCuP2 crystal, as listed in Alexandria via LeMat-Bulk.

Cell: 2.606 3.464 11.344 Å, 90.00 90.00 90.00°
Space group Imm2 (No. 44)
Asymmetric unit:
Fe1 0.000 0.000 0.000
Cu1 0.000 0.500 0.280
P1 0.000 0.000 0.437
P2 0.000 0.500 0.664

Summary:
Calculated formation energy, meV/atom: -75

[4]
First-principles (PBE) data for a relaxed NdDy2Er3 crystal, as listed in Alexandria via LeMat-Bulk.

Cell: 9.398 12.313 6.800 Å, 90.00 90.00 90.00°
Space group Cmc2_1 (No. 36)
Asymmetric unit:
Nd1 0.000 0.146 0.000
Dy1 0.171 0.374 0.249
Er1 0.000 0.152 0.499
Er2 0.171 0.359 0.750

Summary:
Calculated formation energy, meV/atom: 226

[5]
First-principles (PBE) data for a relaxed Ce3HgCCl crystal, as listed in Alexandria via LeMat-Bulk.

Cell: 8.275 3.652 10.145 Å, 90.00 99.77 90.00°
Space group P2_1/m (No. 11)
Asymmetric unit:
Ce1 0.081 0.250 0.381
Ce2 0.119 0.250 0.869
Ce3 0.349 0.750 0.627
Hg1 0.295 0.750 0.217
C1 0.144 0.250 0.632
Cl1 0.380 0.750 0.901

Summary:
ΔE_f (raw), kJ per mole of atoms: -50.8

[6]
First-principles (PBE) data for a relaxed BaPrEr4S8 crystal, as listed in Alexandria via LeMat-Bulk.

Cell: 8.1841 8.1841 20.5311 Å, 90.00 90.00 120.00°
Space group R3m (No. 160, hexagonal axes)
Asymmetric unit:
Ba1 0.0000 0.0000 0.0000
Pr1 0.0000 0.0000 0.6295
Er1 0.0000 0.0000 0.2530
Er2 0.1689 0.3379 0.4606
S1 0.0000 0.0000 0.3850
S2 0.0000 0.0000 0.8586
S3 0.0411 0.5205 0.3885
S4 0.1721 0.3442 0.2052

Summary:
ΔE_f (raw), kJ per mole of atoms: -188.0

> Number 5 is which compound?

Ce3HgCCl